A.
Entry from Alexandria: a relaxed structure of K (PBE-GGA).

Cell: 8.597 8.597 16.312 Å, 90.00 90.00 90.00°
Fractional coordinates of all 16 atoms:
K1 0.176 0.074 0.125
K2 0.176 0.426 0.625
K3 0.176 0.574 0.875
K4 0.176 0.926 0.375
K5 0.324 0.074 0.875
K6 0.324 0.426 0.375
K7 0.324 0.574 0.125
K8 0.324 0.926 0.625
K9 0.676 0.074 0.375
K10 0.676 0.426 0.875
K11 0.676 0.574 0.625
K12 0.676 0.926 0.125
K13 0.824 0.074 0.625
K14 0.824 0.426 0.125
K15 0.824 0.574 0.375
K16 0.824 0.926 0.875

=====

B.
Entry from Alexandria: a relaxed structure of K (PBE-GGA).

Cell: 8.330 8.330 8.330 Å, 90.00 90.00 90.00°
Fractional coordinates of all 8 atoms:
K1 0.000 0.000 0.000
K2 0.000 0.250 0.500
K3 0.000 0.750 0.500
K4 0.250 0.500 0.000
K5 0.500 0.000 0.250
K6 0.500 0.000 0.750
K7 0.500 0.500 0.500
K8 0.750 0.500 0.000

=====

C.
Entry from Alexandria: a relaxed structure of K (PBE-GGA).

Cell: 13.271 13.271 13.271 Å, 90.00 90.00 90.00°
Fractional coordinates of all 16 atoms:
K1 0.119 0.119 0.881
K2 0.119 0.881 0.119
K3 0.197 0.197 0.197
K4 0.197 0.803 0.803
K5 0.303 0.303 0.697
K6 0.303 0.697 0.303
K7 0.381 0.381 0.381
K8 0.381 0.619 0.619
K9 0.619 0.381 0.619
K10 0.619 0.619 0.381
K11 0.697 0.303 0.303
K12 0.697 0.697 0.697
K13 0.803 0.197 0.803
K14 0.803 0.803 0.197
K15 0.881 0.119 0.119
K16 0.881 0.881 0.881

=====

D.
Entry from Alexandria: a relaxed structure of K (PBE-GGA).

Cell: 10.406 10.406 4.230 Å, 90.00 90.00 90.00°
Fractional coordinates of all 4 atoms:
K1 0.000 0.293 0.000
K2 0.000 0.707 0.000
K3 0.293 0.000 0.000
K4 0.707 0.000 0.000

=====

Short version: B is the most stable of them.